[1]
TaTl2Os | Alexandria via LeMat-Bulk | SCAN | PBEsol geometry; ΔH_f (0 K) = 0.96 eV/atom; calculated density = 17.25 g/cm3; space group = P4/mmm (123); energy above the most stable polymorph in this dataset = 693 meV per atom
1.0
4.1091 0.0000 0.0000
0.0000 4.1091 0.0000
0.0000 0.0000 4.4454
Ta Tl Os
1 2 1
Direct
0.0000 0.0000 0.0000
0.0000 0.5000 0.5000
0.5000 0.0000 0.5000
0.5000 0.5000 0.0000

***

[2]
TaRe2Mo | Alexandria via LeMat-Bulk | SCAN | PBEsol geometry; ΔH_f (0 K) = -0.22 eV/atom; calculated density = 17.46 g/cm3; space group = Fm-3m (225); energy above the most stable polymorph in this dataset = 10 meV per atom
1.0
0.0000 3.1374 3.1374
3.1374 0.0000 3.1374
3.1374 3.1374 0.0000
Ta Re Mo
1 2 1
Direct
0.0000 0.0000 0.0000
0.2500 0.2500 0.2500
0.7500 0.7500 0.7500
0.5000 0.5000 0.5000

***

[3]
Ta3CdRu | Alexandria via LeMat-Bulk | SCAN | PBEsol geometry; ΔH_f (0 K) = 1.02 eV/atom; calculated density = 11.75 g/cm3; space group = Pm-3m (221)
1.0
4.7455 0.0000 0.0000
0.0000 4.7455 0.0000
0.0000 0.0000 4.7455
Ta Cd Ru
3 1 1
Direct
0.0000 0.0000 0.5000
0.0000 0.5000 0.0000
0.5000 0.0000 0.0000
0.5000 0.5000 0.5000
0.0000 0.0000 0.0000

***

[4]
KRbZr2Be | Alexandria via LeMat-Bulk | SCAN | PBEsol geometry; ΔH_f (0 K) = 0.97 eV/atom; calculated density = 3.28 g/cm3; space group = P4/mmm (123)
1.0
4.8765 0.0000 0.0000
0.0000 4.8765 0.0000
0.0000 0.0000 6.7364
K Rb Zr Be
1 1 2 1
Direct
0.0000 0.0000 0.0000
0.5000 0.5000 0.0000
0.0000 0.5000 0.5000
0.5000 0.0000 0.5000
0.5000 0.5000 0.5000

***

[5]
TiZnSnO4 | Alexandria via LeMat-Bulk | SCAN | PBEsol geometry; calculated density = 4.42 g/cm3; space group = P6_3 (173); energy above the most stable polymorph in this dataset = 5 meV per atom
1.0
9.1692 0.0000 0.0000
-4.5846 7.9408 0.0000
0.0000 0.0000 9.1699
Ti Zn Sn O
6 6 6 24
Direct
0.0148 0.6890 0.0000
0.3110 0.3258 0.0000
0.3258 0.0148 0.5000
0.6742 0.9852 0.0000
0.6890 0.6742 0.5000
0.9852 0.3110 0.5000
0.0179 0.6665 0.6223
0.3335 0.3514 0.6223
0.3514 0.0179 0.1223
0.6486 0.9821 0.6223
0.6665 0.6486 0.1223
0.9821 0.3335 0.1223
0.0000 0.0000 0.2484
0.0000 0.0000 0.7484
0.3333 0.6667 0.3700
0.3333 0.6667 0.8976
0.6667 0.3333 0.3976
0.6667 0.3333 0.8700
0.0952 0.7400 0.8191
0.1025 0.8840 0.1074
0.1107 0.5626 0.0539
0.1160 0.2185 0.1074
0.2168 0.4425 0.5020
0.2185 0.1025 0.6073
0.2257 0.7832 0.5020
0.2600 0.3552 0.8191
0.3552 0.0952 0.3191
0.4374 0.5481 0.0539
0.4425 0.2257 0.0020
0.4519 0.8893 0.0539
0.5481 0.1107 0.5539
0.5575 0.7743 0.5020
0.5626 0.4519 0.5539
0.6448 0.9048 0.8191
0.7400 0.6448 0.3191
0.7743 0.2168 0.0020
0.7815 0.8975 0.1074
0.7832 0.5575 0.0020
0.8840 0.7815 0.6073
0.8893 0.4374 0.5539
0.8975 0.1160 0.6073
0.9048 0.2600 0.3191

***

[6]
CaReNi2 | Alexandria via LeMat-Bulk | SCAN | PBEsol geometry; ΔH_f (0 K) = 0.65 eV/atom; calculated density = 9.88 g/cm3; space group = R3m (160); energy above the most stable polymorph in this dataset = 272 meV per atom
1.0
1.3821 0.7980 8.7313
-1.3821 0.7980 8.7313
0.0000 -1.5960 8.7313
Ca Re Ni
1 1 2
Direct
0.0000 0.0000 0.0000
0.7671 0.7671 0.7671
0.2463 0.2463 0.2463
0.5080 0.5080 0.5080

***

[7]
ReMoAu2 | Alexandria via LeMat-Bulk | SCAN | PBEsol geometry; ΔH_f (0 K) = 0.56 eV/atom; calculated density = 17.54 g/cm3; space group = F-43m (216); energy above the most stable polymorph in this dataset = 311 meV per atom
1.0
0.0000 3.1748 3.1748
3.1748 0.0000 3.1748
3.1748 3.1748 0.0000
Re Mo Au
1 1 2
Direct
0.0000 0.0000 0.0000
0.2500 0.2500 0.2500
0.5000 0.5000 0.5000
0.7500 0.7500 0.7500

***

[8]
ZnMo3H | Alexandria via LeMat-Bulk | SCAN | PBEsol geometry; calculated density = 6.40 g/cm3; space group = Pm-3m (221)
1.0
4.5138 0.0000 0.0000
0.0000 4.5138 0.0000
0.0000 0.0000 4.5138
Zn Mo H
1 3 1
Direct
0.0000 0.0000 0.0000
0.0000 0.0000 0.5000
0.0000 0.5000 0.0000
0.5000 0.0000 0.0000
0.5000 0.5000 0.5000

***

| no. | total magnetization (μB per atom) | DFT total energy (eV per formula unit) |
| --- | --- | --- |
| 1 | 0.000 | -279.35 |
| 2 | 0.000 | -244.55 |
| 3 | 0.000 | -259.90 |
| 4 | 0.443 | -89.97 |
| 5 | 0.000 | -105.56 |
| 6 | 0.000 | -110.49 |
| 7 | 0.000 | -242.04 |
| 8 | 0.000 | -108.45 |